No. 1
# Tb2Mn16V (GGA-PBE, relaxed)
data_Tb2Mn16V
_cell_length_a 6.341
_cell_length_b 6.341
_cell_length_c 6.341
_cell_angle_alpha 86.29
_cell_angle_beta 86.29
_cell_angle_gamma 86.29
_space_group_name_H-M_alt 'P 1'
_space_group_IT_number 1
loop_
_space_group_symop_operation_xyz
'x,y,z'
loop_
_atom_site_label
_atom_site_type_symbol
_atom_site_fract_x
_atom_site_fract_y
_atom_site_fract_z
Tb1 Tb 0.000 0.000 0.000
Tb2 Tb 0.293 0.293 0.293
Mn1 Mn 0.004 0.004 0.521
Mn2 Mn 0.004 0.521 0.004
Mn3 Mn 0.146 0.647 0.647
Mn4 Mn 0.291 0.291 0.771
Mn5 Mn 0.291 0.771 0.291
Mn6 Mn 0.370 0.645 0.922
Mn7 Mn 0.370 0.922 0.645
Mn8 Mn 0.521 0.004 0.004
Mn9 Mn 0.544 0.544 0.544
Mn10 Mn 0.645 0.370 0.922
Mn11 Mn 0.645 0.922 0.370
Mn12 Mn 0.647 0.146 0.647
Mn13 Mn 0.647 0.647 0.146
Mn14 Mn 0.771 0.291 0.291
Mn15 Mn 0.922 0.370 0.645
Mn16 Mn 0.922 0.645 0.370
V1 V 0.742 0.742 0.742
# - formation energy (eV/atom) = -0.0018

---

No. 2
# TbMn4V (GGA-PBE, relaxed)
data_TbMn4V
_cell_length_a 4.942
_cell_length_b 4.942
_cell_length_c 4.942
_cell_angle_alpha 60.00
_cell_angle_beta 60.00
_cell_angle_gamma 60.00
_space_group_name_H-M_alt 'P 1'
_space_group_IT_number 1
loop_
_space_group_symop_operation_xyz
'x,y,z'
loop_
_atom_site_label
_atom_site_type_symbol
_atom_site_fract_x
_atom_site_fract_y
_atom_site_fract_z
Tb1 Tb 0.000 0.000 0.000
Mn1 Mn 0.127 0.624 0.624
Mn2 Mn 0.624 0.127 0.624
Mn3 Mn 0.624 0.624 0.127
Mn4 Mn 0.624 0.624 0.624
V1 V 0.250 0.250 0.250
# - formation energy (eV/atom) = 0.1393

---

No. 3
# TbMnV (GGA-PBE, relaxed)
data_TbMnV
_cell_length_a 3.755
_cell_length_b 3.755
_cell_length_c 4.709
_cell_angle_alpha 90.00
_cell_angle_beta 90.00
_cell_angle_gamma 120.00
_space_group_name_H-M_alt 'P 1'
_space_group_IT_number 1
loop_
_space_group_symop_operation_xyz
'x,y,z'
loop_
_atom_site_label
_atom_site_type_symbol
_atom_site_fract_x
_atom_site_fract_y
_atom_site_fract_z
Tb1 Tb 0.000 0.000 0.000
Mn1 Mn 0.333 0.667 0.500
V1 V 0.667 0.333 0.500
# - formation energy (eV/atom) = 0.3045

---

No. 4
# TbMnV (GGA-PBE, relaxed)
data_TbMnV
_cell_length_a 6.374
_cell_length_b 5.747
_cell_length_c 4.842
_cell_angle_alpha 73.46
_cell_angle_beta 59.81
_cell_angle_gamma 46.73
_space_group_name_H-M_alt 'P 1'
_space_group_IT_number 1
loop_
_space_group_symop_operation_xyz
'x,y,z'
loop_
_atom_site_label
_atom_site_type_symbol
_atom_site_fract_x
_atom_site_fract_y
_atom_site_fract_z
Tb1 Tb 0.186 0.814 0.186
Tb2 Tb 0.814 0.186 0.814
Mn1 Mn 0.250 0.250 0.250
Mn2 Mn 0.750 0.750 0.750
V1 V 0.314 0.314 0.686
V2 V 0.686 0.686 0.314
# - formation energy (eV/atom) = 0.3121

---

No. 5
# TbMnW (GGA-PBE, relaxed)
data_TbMnW
_cell_length_a 6.359
_cell_length_b 5.486
_cell_length_c 4.983
_cell_angle_alpha 74.63
_cell_angle_beta 56.30
_cell_angle_gamma 49.07
_space_group_name_H-M_alt 'P 1'
_space_group_IT_number 1
loop_
_space_group_symop_operation_xyz
'x,y,z'
loop_
_atom_site_label
_atom_site_type_symbol
_atom_site_fract_x
_atom_site_fract_y
_atom_site_fract_z
Tb1 Tb 0.172 0.828 0.172
Tb2 Tb 0.828 0.172 0.828
Mn1 Mn 0.250 0.250 0.250
Mn2 Mn 0.750 0.750 0.750
W1 W 0.330 0.330 0.670
W2 W 0.670 0.670 0.330
# - formation energy (eV/atom) = 0.3401

---

No. 6
# TbYMn2 (GGA-PBE, relaxed)
data_TbYMn2
_cell_length_a 4.970
_cell_length_b 4.970
_cell_length_c 3.610
_cell_angle_alpha 90.00
_cell_angle_beta 90.00
_cell_angle_gamma 90.00
_space_group_name_H-M_alt 'P 1'
_space_group_IT_number 1
loop_
_space_group_symop_operation_xyz
'x,y,z'
loop_
_atom_site_label
_atom_site_type_symbol
_atom_site_fract_x
_atom_site_fract_y
_atom_site_fract_z
Tb1 Tb 0.000 0.000 0.000
Y1 Y 0.500 0.500 0.000
Mn1 Mn 0.000 0.500 0.500
Mn2 Mn 0.500 0.000 0.500
# - formation energy (eV/atom) = 0.2091

---

No. 7
# TbYMn17 (GGA-PBE, relaxed)
data_TbYMn17
_cell_length_a 6.327
_cell_length_b 6.327
_cell_length_c 6.327
_cell_angle_alpha 86.27
_cell_angle_beta 86.27
_cell_angle_gamma 86.27
_space_group_name_H-M_alt 'P 1'
_space_group_IT_number 1
loop_
_space_group_symop_operation_xyz
'x,y,z'
loop_
_atom_site_label
_atom_site_type_symbol
_atom_site_fract_x
_atom_site_fract_y
_atom_site_fract_z
Tb1 Tb 0.000 0.000 0.000
Y1 Y 0.710 0.710 0.710
Mn1 Mn 0.000 0.000 0.478
Mn2 Mn 0.000 0.478 0.000
Mn3 Mn 0.080 0.355 0.630
Mn4 Mn 0.080 0.630 0.355
Mn5 Mn 0.231 0.710 0.710
Mn6 Mn 0.255 0.255 0.255
Mn7 Mn 0.355 0.080 0.630
Mn8 Mn 0.355 0.355 0.855
Mn9 Mn 0.355 0.630 0.080
Mn10 Mn 0.355 0.855 0.355
Mn11 Mn 0.455 0.455 0.455
Mn12 Mn 0.478 0.000 0.000
Mn13 Mn 0.630 0.080 0.355
Mn14 Mn 0.630 0.355 0.080
Mn15 Mn 0.710 0.231 0.710
Mn16 Mn 0.710 0.710 0.231
Mn17 Mn 0.855 0.355 0.355
# - formation energy (eV/atom) = 0.0043

---

No. 8
# TbYMnZn (GGA-PBE, relaxed)
data_TbYMnZn
_cell_length_a 5.035
_cell_length_b 5.035
_cell_length_c 5.035
_cell_angle_alpha 60.00
_cell_angle_beta 60.00
_cell_angle_gamma 60.00
_space_group_name_H-M_alt 'P 1'
_space_group_IT_number 1
loop_
_space_group_symop_operation_xyz
'x,y,z'
loop_
_atom_site_label
_atom_site_type_symbol
_atom_site_fract_x
_atom_site_fract_y
_atom_site_fract_z
Tb1 Tb 0.000 0.000 0.000
Y1 Y 0.500 0.500 0.500
Mn1 Mn 0.250 0.250 0.250
Zn1 Zn 0.750 0.750 0.750
# - formation energy (eV/atom) = -0.0430

---

No. 9
# TbMnZn4 (GGA-PBE, relaxed)
data_TbMnZn4
_cell_length_a 5.206
_cell_length_b 5.206
_cell_length_c 5.206
_cell_angle_alpha 60.00
_cell_angle_beta 60.00
_cell_angle_gamma 60.00
_space_group_name_H-M_alt 'P 1'
_space_group_IT_number 1
loop_
_space_group_symop_operation_xyz
'x,y,z'
loop_
_atom_site_label
_atom_site_type_symbol
_atom_site_fract_x
_atom_site_fract_y
_atom_site_fract_z
Tb1 Tb 0.000 0.000 0.000
Mn1 Mn 0.750 0.750 0.750
Zn1 Zn 0.376 0.376 0.376
Zn2 Zn 0.376 0.376 0.872
Zn3 Zn 0.376 0.872 0.376
Zn4 Zn 0.872 0.376 0.376
# - formation energy (eV/atom) = -0.1305

---

No. 10
# TbMnZn (GGA-PBE, relaxed)
data_TbMnZn
_cell_length_a 5.280
_cell_length_b 3.476
_cell_length_c 6.488
_cell_angle_alpha 90.00
_cell_angle_beta 102.32
_cell_angle_gamma 90.00
_space_group_name_H-M_alt 'P 1'
_space_group_IT_number 1
loop_
_space_group_symop_operation_xyz
'x,y,z'
loop_
_atom_site_label
_atom_site_type_symbol
_atom_site_fract_x
_atom_site_fract_y
_atom_site_fract_z
Tb1 Tb 0.037 0.250 0.254
Tb2 Tb 0.963 0.750 0.746
Mn1 Mn 0.404 0.750 0.533
Mn2 Mn 0.596 0.250 0.467
Zn1 Zn 0.500 0.250 0.848
Zn2 Zn 0.500 0.750 0.152
# - formation energy (eV/atom) = 0.0341

---

No. 11
# TbMnZn11 (GGA-PBE, relaxed)
data_TbMnZn11
_cell_length_a 6.780
_cell_length_b 6.780
_cell_length_c 6.790
_cell_angle_alpha 98.52
_cell_angle_beta 98.52
_cell_angle_gamma 134.47
_space_group_name_H-M_alt 'P 1'
_space_group_IT_number 1
loop_
_space_group_symop_operation_xyz
'x,y,z'
loop_
_atom_site_label
_atom_site_type_symbol
_atom_site_fract_x
_atom_site_fract_y
_atom_site_fract_z
Tb1 Tb 0.000 0.000 0.000
Mn1 Mn 0.000 0.000 0.500
Zn1 Zn 0.000 0.500 0.000
Zn2 Zn 0.011 0.662 0.646
Zn3 Zn 0.278 0.497 0.781
Zn4 Zn 0.338 0.989 0.354
Zn5 Zn 0.497 0.278 0.781
Zn6 Zn 0.500 0.000 0.000
Zn7 Zn 0.500 0.500 0.500
Zn8 Zn 0.503 0.722 0.219
Zn9 Zn 0.662 0.011 0.646
Zn10 Zn 0.722 0.503 0.219
Zn11 Zn 0.989 0.338 0.354
# - formation energy (eV/atom) = -0.1479

---

No. 12
# TbMnZn2 (GGA-PBE, relaxed)
data_TbMnZn2
_cell_length_a 3.296
_cell_length_b 3.296
_cell_length_c 6.750
_cell_angle_alpha 90.00
_cell_angle_beta 90.00
_cell_angle_gamma 90.00
_space_group_name_H-M_alt 'P 1'
_space_group_IT_number 1
loop_
_space_group_symop_operation_xyz
'x,y,z'
loop_
_atom_site_label
_atom_site_type_symbol
_atom_site_fract_x
_atom_site_fract_y
_atom_site_fract_z
Tb1 Tb 0.000 0.000 0.000
Mn1 Mn 0.000 0.000 0.500
Zn1 Zn 0.500 0.500 0.301
Zn2 Zn 0.500 0.500 0.699
# - formation energy (eV/atom) = -0.0763